A relaxed KSb5S8 crystal, computed with PBEsol.

Cell: 8.1533 8.8594 19.2737 Å, 90.00 90.00 88.03°
Fractional coordinates of all 56 atoms:
S 0.7652 0.2161 0.4610
S 0.2523 0.9190 0.7081
S 0.4581 0.7553 0.3225
S 0.7907 0.0255 0.2769
S 0.2907 0.5255 0.7231
S 0.4896 0.5412 0.1574
S 0.6035 0.4112 0.5998
S 0.5941 0.1888 0.7750
S 0.7688 0.2228 0.1115
S 0.2652 0.7161 0.5390
S 0.9896 0.0412 0.8426
S 0.1171 0.0687 0.0199
S 0.2688 0.7228 0.8885
S 0.1035 0.9112 0.4002
S 0.5700 0.9878 0.9647
S 0.9559 0.4611 0.8337
S 0.8130 0.7097 0.4908
S 0.6053 0.9927 0.5998
S 0.4559 0.9611 0.1663
S 0.1465 0.2913 0.1950
S 0.6465 0.7913 0.8050
S 0.3130 0.2097 0.5092
S 0.8346 0.7999 0.0844
S 0.8996 0.6655 0.6558
S 0.7523 0.4190 0.2919
S 0.6171 0.5687 0.9801
S 0.9581 0.2553 0.6775
S 0.3346 0.2999 0.9156
S 0.3996 0.1655 0.3442
S 0.0941 0.6888 0.2250
S 0.1053 0.4927 0.4002
S 0.0700 0.4878 0.0353
Sb 0.4207 0.2054 0.6335
Sb 0.2839 0.2902 0.0484
Sb 0.4264 0.9720 0.8481
Sb 0.4344 0.7282 0.6481
Sb 0.4817 0.5236 0.8646
Sb 0.1382 0.2593 0.7886
Sb 0.8084 0.0083 0.7367
Sb 0.9817 0.0236 0.1354
Sb 0.9264 0.4720 0.1519
Sb 0.2485 0.9541 0.2850
Sb 0.7839 0.7902 0.9516
Sb 0.5286 0.0422 0.4568
Sb 0.9344 0.2282 0.3519
Sb 0.0873 0.7096 0.7729
Sb 0.9207 0.7054 0.3665
Sb 0.3084 0.5083 0.2633
Sb 0.5873 0.2096 0.2271
Sb 0.7485 0.4541 0.7150
Sb 0.6382 0.7593 0.2114
Sb 0.0286 0.5422 0.5432
K 0.8155 0.2603 0.9506
K 0.3155 0.7603 0.0494
K 0.5037 0.4966 0.4437
K 0.0037 0.9966 0.5563

Formation energy from raw total energies ... -0.41 eV per atom
Energy ... -4.627 eV/atom
Magnetization ... 0.000 μB per atom

A relaxed K3SbS crystal, computed with PBEsol.

Cell: 6.4553 6.4553 6.4553 Å, 90.00 90.00 90.00°
Site moments in Bohr magnetons follow the coordinates.
Fractional coordinates of all 5 atoms:
S 0.5000 0.5000 0.5000  0.45
K 0.0000 0.5000 0.0000  0.02
K 0.0000 0.0000 0.5000  0.02
K 0.5000 0.0000 0.0000  0.02
Sb 0.0000 0.0000 0.0000  0.41

Formation energy from raw total energies ... 0.06 eV per atom
Energy ... -2.413 eV/atom
Magnetization ... 0.406 μB per atom

A relaxed KSbTe2S crystal, computed with PBEsol.

Cell: 5.7605 5.7605 5.8409 Å, 90.00 90.00 90.00°
Site moments in Bohr magnetons follow the coordinates.
Fractional coordinates of all 5 atoms:
Te 0.5000 0.0000 0.0000  0.12
Te 0.0000 0.5000 0.0000  0.12
S 0.5000 0.5000 0.5000  0.86
K 0.0000 0.0000 0.0000  0.00
Sb 0.0000 0.0000 0.5000  -0.09

Formation energy from raw total energies ... 1.43 eV per atom
Energy ... -1.995 eV/atom
Magnetization ... 0.324 μB per atom

A relaxed KSbW2S crystal, computed with PBEsol.

Cell: 4.4659 4.4659 5.5410 Å, 90.00 90.00 90.00°
Fractional coordinates of all 5 atoms:
S 0.0000 0.0000 0.0000
K 0.5000 0.5000 0.5000
W 0.5000 0.0000 0.0000
W 0.0000 0.5000 0.0000
Sb 0.0000 0.0000 0.5000

Formation energy from raw total energies ... 1.15 eV per atom
Energy ... -6.393 eV/atom
Magnetization ... 0.000 μB per atom